# 1
# PBE TaIn2Cu, optimized geometry
data_TaIn2Cu
_symmetry_space_group_name_H-M 'C m m m'
_symmetry_Int_Tables_number 65
_symmetry_space_group_name_Hall '-C 2 2'
_cell_length_a 6.060
_cell_length_b 8.313
_cell_length_c 2.997
_cell_angle_alpha 90.00
_cell_angle_beta 90.00
_cell_angle_gamma 90.00
loop_
_atom_site_label
_atom_site_fract_x
_atom_site_fract_y
_atom_site_fract_z
_atom_site_occupancy
Ta1 0.000 0.000 0.000 1
In1 0.250 0.250 0.500 1
Cu1 0.000 0.500 0.000 1
# * raw total energy: -41.3 eV for the cell shown
# * density of states at the Fermi level: 2.37 states/eV per cell
# * relative energy among the computed polymorphs: 0 meV/atom

# 2
# PBE TaIn2Cu, optimized geometry
data_TaIn2Cu
_symmetry_space_group_name_H-M 'C 1 m 1'
_symmetry_Int_Tables_number 8
_symmetry_space_group_name_Hall 'C -2y'
_cell_length_a 10.925
_cell_length_b 2.979
_cell_length_c 5.134
_cell_angle_alpha 90.00
_cell_angle_beta 112.24
_cell_angle_gamma 90.00
loop_
_atom_site_label
_atom_site_fract_x
_atom_site_fract_y
_atom_site_fract_z
_atom_site_occupancy
Ta1 0.000 0.000 0.000 1
In1 0.247 0.000 0.891 1
In2 0.471 0.000 0.487 1
Cu1 0.211 0.500 0.373 1
# * raw total energy: -41.1 eV for the cell shown
# * density of states at the Fermi level: 5.42 states/eV per cell
# * relative energy among the computed polymorphs: 29 meV/atom

# 3
# PBE TaIn2Cu, optimized geometry
data_TaIn2Cu
_symmetry_space_group_name_H-M 'I m m m'
_symmetry_Int_Tables_number 71
_symmetry_space_group_name_Hall '-I 2 2'
_cell_length_a 3.487
_cell_length_b 4.535
_cell_length_c 9.512
_cell_angle_alpha 90.00
_cell_angle_beta 90.00
_cell_angle_gamma 90.00
loop_
_atom_site_label
_atom_site_fract_x
_atom_site_fract_y
_atom_site_fract_z
_atom_site_occupancy
Ta1 0.000 0.000 0.000 1
In1 0.000 0.500 0.230 1
Cu1 0.000 0.000 0.500 1
# * raw total energy: -39.8 eV for the cell shown
# * density of states at the Fermi level: 5.61 states/eV per cell
# * relative energy among the computed polymorphs: 188 meV/atom

# 4
# PBE TaIn2Cu, optimized geometry
data_TaIn2Cu
_symmetry_space_group_name_H-M 'F -4 3 m'
_symmetry_Int_Tables_number 216
_symmetry_space_group_name_Hall 'F -4 2 3'
_cell_length_a 6.767
_cell_length_b 6.767
_cell_length_c 6.767
_cell_angle_alpha 90.00
_cell_angle_beta 90.00
_cell_angle_gamma 90.00
loop_
_atom_site_label
_atom_site_fract_x
_atom_site_fract_y
_atom_site_fract_z
_atom_site_occupancy
Ta1 0.000 0.000 0.000 1
In1 0.000 0.000 0.500 1
In2 0.250 0.250 0.250 1
Cu1 0.250 0.250 0.750 1
# * raw total energy: -75.8 eV for the cell shown
# * density of states at the Fermi level: 19.10 states/eV per cell
# * relative energy among the computed polymorphs: 429 meV/atom

# 5
# PBE TaIn2Cu, optimized geometry
data_TaIn2Cu
_symmetry_space_group_name_H-M 'R -3 m'
_symmetry_Int_Tables_number 166
_symmetry_space_group_name_Hall '-R 3 2"'
_cell_length_a 3.0771
_cell_length_b 3.0771
_cell_length_c 27.8809
_cell_angle_alpha 90.00
_cell_angle_beta 90.00
_cell_angle_gamma 120.00
loop_
_atom_site_label
_atom_site_fract_x
_atom_site_fract_y
_atom_site_fract_z
_atom_site_occupancy
Ta1 0.0000 0.0000 0.0000 1
In1 0.0000 0.0000 0.2449 1
Cu1 0.0000 0.0000 0.5000 1
# * raw total energy: -61.3 eV for the cell shown
# * density of states at the Fermi level: 10.99 states/eV per cell
# * relative energy among the computed polymorphs: 59 meV/atom

# 6
# PBE TaIn3Cu, optimized geometry
data_TaIn3Cu
_symmetry_space_group_name_H-M 'P m -3 m'
_symmetry_Int_Tables_number 221
_symmetry_space_group_name_Hall '-P 4 2 3'
_cell_length_a 4.901
_cell_length_b 4.901
_cell_length_c 4.901
_cell_angle_alpha 90.00
_cell_angle_beta 90.00
_cell_angle_gamma 90.00
loop_
_atom_site_label
_atom_site_fract_x
_atom_site_fract_y
_atom_site_fract_z
_atom_site_occupancy
Ta1 0.000 0.000 0.000 1
In1 0.000 0.500 0.500 1
Cu1 0.500 0.500 0.500 1
# * raw total energy: -19.6 eV for the cell shown
# * density of states at the Fermi level: 4.60 states/eV per cell
# * relative energy among the computed polymorphs: 0 meV/atom

# 7
# PBE TaIn2Cu, optimized geometry
data_TaIn2Cu
_symmetry_space_group_name_H-M 'P m m 2'
_symmetry_Int_Tables_number 25
_symmetry_space_group_name_Hall 'P 2 -2'
_cell_length_a 3.012
_cell_length_b 4.927
_cell_length_c 5.186
_cell_angle_alpha 90.00
_cell_angle_beta 90.00
_cell_angle_gamma 90.00
loop_
_atom_site_label
_atom_site_fract_x
_atom_site_fract_y
_atom_site_fract_z
_atom_site_occupancy
Ta1 0.000 0.000 0.000 1
In1 0.500 0.000 0.515 1
In2 0.500 0.500 0.118 1
Cu1 0.000 0.500 0.672 1
# * raw total energy: -20.5 eV for the cell shown
# * density of states at the Fermi level: 1.90 states/eV per cell
# * relative energy among the computed polymorphs: 49 meV/atom

# 8
# PBE TaIn2Cu, optimized geometry
data_TaIn2Cu
_symmetry_space_group_name_H-M 'P 4/m m m'
_symmetry_Int_Tables_number 123
_symmetry_space_group_name_Hall '-P 4 2'
_cell_length_a 2.985
_cell_length_b 2.985
_cell_length_c 8.307
_cell_angle_alpha 90.00
_cell_angle_beta 90.00
_cell_angle_gamma 90.00
loop_
_atom_site_label
_atom_site_fract_x
_atom_site_fract_y
_atom_site_fract_z
_atom_site_occupancy
Ta1 0.000 0.000 0.000 1
In1 0.500 0.500 0.268 1
Cu1 0.000 0.000 0.500 1
# * raw total energy: -20.6 eV for the cell shown
# * density of states at the Fermi level: 1.17 states/eV per cell
# * relative energy among the computed polymorphs: 27 meV/atom

# 9
# PBE Ta2In2Cu, optimized geometry
data_Ta2In2Cu
_symmetry_space_group_name_H-M 'I 4/m m m'
_symmetry_Int_Tables_number 139
_symmetry_space_group_name_Hall '-I 4 2'
_cell_length_a 3.912
_cell_length_b 3.912
_cell_length_c 13.795
_cell_angle_alpha 90.00
_cell_angle_beta 90.00
_cell_angle_gamma 90.00
loop_
_atom_site_label
_atom_site_fract_x
_atom_site_fract_y
_atom_site_fract_z
_atom_site_occupancy
Ta1 0.000 0.000 0.088 1
In1 0.000 0.500 0.250 1
Cu1 0.000 0.000 0.500 1
# * raw total energy: -57.8 eV for the cell shown
# * density of states at the Fermi level: 5.48 states/eV per cell
# * relative energy among the computed polymorphs: 406 meV/atom

# 10
# PBE Ta2In2Cu, optimized geometry
data_Ta2In2Cu
_symmetry_space_group_name_H-M 'P 4/m b m'
_symmetry_Int_Tables_number 127
_symmetry_space_group_name_Hall '-P 4 2ab'
_cell_length_a 6.659
_cell_length_b 6.659
_cell_length_c 4.559
_cell_angle_alpha 90.00
_cell_angle_beta 90.00
_cell_angle_gamma 90.00
loop_
_atom_site_label
_atom_site_fract_x
_atom_site_fract_y
_atom_site_fract_z
_atom_site_occupancy
Ta1 0.145 0.355 0.000 1
In1 0.163 0.663 0.500 1
Cu1 0.000 0.000 0.000 1
# * raw total energy: -61.8 eV for the cell shown
# * density of states at the Fermi level: 9.38 states/eV per cell
# * relative energy among the computed polymorphs: 0 meV/atom

# 11
# PBE TaIn2Cu, optimized geometry
data_TaIn2Cu
_symmetry_space_group_name_H-M 'I -4 2 d'
_symmetry_Int_Tables_number 122
_symmetry_space_group_name_Hall 'I -4 2bw'
_cell_length_a 7.423
_cell_length_b 7.423
_cell_length_c 5.764
_cell_angle_alpha 90.00
_cell_angle_beta 90.00
_cell_angle_gamma 90.00
loop_
_atom_site_label
_atom_site_fract_x
_atom_site_fract_y
_atom_site_fract_z
_atom_site_occupancy
Ta1 0.000 0.000 0.000 1
In1 0.213 0.750 0.625 1
Cu1 0.000 0.000 0.500 1
# * raw total energy: -77.5 eV for the cell shown
# * density of states at the Fermi level: 5.03 states/eV per cell
# * relative energy among the computed polymorphs: 325 meV/atom

# 12
# PBE TaIn3Cu, optimized geometry
data_TaIn3Cu
_symmetry_space_group_name_H-M 'P m -3 m'
_symmetry_Int_Tables_number 221
_symmetry_space_group_name_Hall '-P 4 2 3'
_cell_length_a 5.423
_cell_length_b 5.423
_cell_length_c 5.423
_cell_angle_alpha 90.00
_cell_angle_beta 90.00
_cell_angle_gamma 90.00
loop_
_atom_site_label
_atom_site_fract_x
_atom_site_fract_y
_atom_site_fract_z
_atom_site_occupancy
Ta1 0.000 0.000 0.000 1
In1 0.000 0.000 0.500 1
Cu1 0.500 0.500 0.500 1
# * raw total energy: -18.8 eV for the cell shown
# * density of states at the Fermi level: 4.47 states/eV per cell
# * relative energy among the computed polymorphs: 144 meV/atom

# 13
# PBE Ta4InCu, optimized geometry
data_Ta4InCu
_symmetry_space_group_name_H-M 'F -4 3 m'
_symmetry_Int_Tables_number 216
_symmetry_space_group_name_Hall 'F -4 2 3'
_cell_length_a 7.753
_cell_length_b 7.753
_cell_length_c 7.753
_cell_angle_alpha 90.00
_cell_angle_beta 90.00
_cell_angle_gamma 90.00
loop_
_atom_site_label
_atom_site_fract_x
_atom_site_fract_y
_atom_site_fract_z
_atom_site_occupancy
Ta1 0.125 0.125 0.125 1
In1 0.000 0.000 0.500 1
Cu1 0.250 0.250 0.750 1
# * raw total energy: -203.6 eV for the cell shown
# * density of states at the Fermi level: 21.35 states/eV per cell

# 14
# PBE TaIn2Cu, optimized geometry
data_TaIn2Cu
_symmetry_space_group_name_H-M 'P m m m'
_symmetry_Int_Tables_number 47
_symmetry_space_group_name_Hall '-P 2 2'
_cell_length_a 2.978
_cell_length_b 3.817
_cell_length_c 6.576
_cell_angle_alpha 90.00
_cell_angle_beta 90.00
_cell_angle_gamma 90.00
loop_
_atom_site_label
_atom_site_fract_x
_atom_site_fract_y
_atom_site_fract_z
_atom_site_occupancy
Ta1 0.000 0.000 0.000 1
In1 0.500 0.500 0.268 1
Cu1 0.000 0.000 0.500 1
# * raw total energy: -20.3 eV for the cell shown
# * density of states at the Fermi level: 1.58 states/eV per cell
# * relative energy among the computed polymorphs: 104 meV/atom

# 15
# PBE TaTlIn2Cu, optimized geometry
data_TaTlIn2Cu
_symmetry_space_group_name_H-M 'P 4/m m m'
_symmetry_Int_Tables_number 123
_symmetry_space_group_name_Hall '-P 4 2'
_cell_length_a 5.553
_cell_length_b 5.553
_cell_length_c 4.814
_cell_angle_alpha 90.00
_cell_angle_beta 90.00
_cell_angle_gamma 90.00
loop_
_atom_site_label
_atom_site_fract_x
_atom_site_fract_y
_atom_site_fract_z
_atom_site_occupancy
Ta1 0.000 0.000 0.000 1
Tl1 0.500 0.500 0.500 1
In1 0.000 0.500 0.000 1
Cu1 0.000 0.000 0.500 1
# * raw total energy: -19.8 eV for the cell shown
# * density of states at the Fermi level: 3.98 states/eV per cell

# 16
# PBE TaInCu2W, optimized geometry
data_TaInCu2W
_symmetry_space_group_name_H-M 'P 4/m m m'
_symmetry_Int_Tables_number 123
_symmetry_space_group_name_Hall '-P 4 2'
_cell_length_a 4.494
_cell_length_b 4.494
_cell_length_c 5.209
_cell_angle_alpha 90.00
_cell_angle_beta 90.00
_cell_angle_gamma 90.00
loop_
_atom_site_label
_atom_site_fract_x
_atom_site_fract_y
_atom_site_fract_z
_atom_site_occupancy
Ta1 0.000 0.000 0.000 1
In1 0.000 0.000 0.500 1
Cu1 0.000 0.500 0.500 1
W1 0.500 0.500 0.000 1
# * raw total energy: -26.3 eV for the cell shown
# * density of states at the Fermi level: 3.93 states/eV per cell

# 17
# PBE YTaInCu2, optimized geometry
data_YTaInCu2
_symmetry_space_group_name_H-M 'P 4/m m m'
_symmetry_Int_Tables_number 123
_symmetry_space_group_name_Hall '-P 4 2'
_cell_length_a 4.840
_cell_length_b 4.840
_cell_length_c 5.260
_cell_angle_alpha 90.00
_cell_angle_beta 90.00
_cell_angle_gamma 90.00
loop_
_atom_site_label
_atom_site_fract_x
_atom_site_fract_y
_atom_site_fract_z
_atom_site_occupancy
Y1 0.000 0.000 0.000 1
Ta1 0.000 0.000 0.500 1
In1 0.500 0.500 0.000 1
Cu1 0.000 0.500 0.500 1
# * raw total energy: -24.1 eV for the cell shown
# * density of states at the Fermi level: 5.38 states/eV per cell
# * relative energy among the computed polymorphs: 0 meV/atom

# 18
# PBE YTaInCu2, optimized geometry
data_YTaInCu2
_symmetry_space_group_name_H-M 'P 4/m m m'
_symmetry_Int_Tables_number 123
_symmetry_space_group_name_Hall '-P 4 2'
_cell_length_a 4.923
_cell_length_b 4.923
_cell_length_c 5.226
_cell_angle_alpha 90.00
_cell_angle_beta 90.00
_cell_angle_gamma 90.00
loop_
_atom_site_label
_atom_site_fract_x
_atom_site_fract_y
_atom_site_fract_z
_atom_site_occupancy
Y1 0.000 0.000 0.000 1
Ta1 0.000 0.000 0.500 1
In1 0.500 0.500 0.500 1
Cu1 0.000 0.500 0.000 1
# * raw total energy: -21.5 eV for the cell shown
# * density of states at the Fermi level: 6.16 states/eV per cell
# * relative energy among the computed polymorphs: 536 meV/atom

# 19
# PBE TaZnIn2Cu, optimized geometry
data_TaZnIn2Cu
_symmetry_space_group_name_H-M 'P 4/m m m'
_symmetry_Int_Tables_number 123
_symmetry_space_group_name_Hall '-P 4 2'
_cell_length_a 4.765
_cell_length_b 4.765
_cell_length_c 4.925
_cell_angle_alpha 90.00
_cell_angle_beta 90.00
_cell_angle_gamma 90.00
loop_
_atom_site_label
_atom_site_fract_x
_atom_site_fract_y
_atom_site_fract_z
_atom_site_occupancy
Ta1 0.000 0.000 0.000 1
Zn1 0.500 0.500 0.000 1
In1 0.000 0.500 0.500 1
Cu1 0.000 0.000 0.500 1
# * raw total energy: -18.8 eV for the cell shown
# * density of states at the Fermi level: 2.93 states/eV per cell

# 20
# PBE Tb8InCu2, optimized geometry
data_Tb8InCu2
_symmetry_space_group_name_H-M 'C 1 2/m 1'
_symmetry_Int_Tables_number 12
_symmetry_space_group_name_Hall '-C 2y'
_cell_length_a 17.021
_cell_length_b 5.002
_cell_length_c 7.710
_cell_angle_alpha 90.00
_cell_angle_beta 114.16
_cell_angle_gamma 90.00
loop_
_atom_site_label
_atom_site_fract_x
_atom_site_fract_y
_atom_site_fract_z
_atom_site_occupancy
Tb1 0.048 0.000 0.257 1
Tb2 0.097 0.500 0.973 1
Tb3 0.183 0.000 0.782 1
Tb4 0.185 0.500 0.481 1
In1 0.000 0.500 0.500 1
Cu1 0.190 0.000 0.152 1
# * raw total energy: -99.3 eV for the cell shown
# * density of states at the Fermi level: 19.61 states/eV per cell
# * relative energy among the computed polymorphs: 0 meV/atom

| no. | energy relative to the elements (eV/f.u.) |
| --- | --- |
| 1 | 0.8 |
| 2 | 0.9 |
| 3 | 1.5 |
| 4 | 2.5 |
| 5 | 1.0 |
| 6 | 4.6 |
| 7 | 1.0 |
| 8 | 0.9 |
| 9 | 4.4 |
| 10 | 2.4 |
| 11 | 2.1 |
| 12 | 5.3 |
| 13 | 3.3 |
| 14 | 1.2 |
| 15 | 4.0 |
| 16 | 9.5 |
| 17 | 5.1 |
| 18 | 7.8 |
| 19 | 3.9 |
| 20 | -1.7 |